No. 1
Here is a relaxed structure of In2NiBr from the Alexandria database. Energies are from PBE.

Computed properties:
* mass density: 6.6 g cm⁻³
* formation energy from raw total energies: 59 meV per atom
* spin magnetization: 0.0 μB/f.u.
* raw total energy: -25.388 eV for the cell shown
* V: 185.6 Å³/cell

Lattice parameters (Å, degrees): 3.2640 5.5375 10.2703 90.00 90.00 90.00
Space group Imm2 (No. 44)
Inequivalent atoms, fractional coordinates:
In 0.0000 0.0000 0.0000 (multiplicity 2)
In 0.0000 0.5000 0.2101 (multiplicity 2)
Ni 0.0000 0.5000 0.6989 (multiplicity 2)
Br 0.0000 0.0000 0.3853 (multiplicity 2)



No. 2
Here is a relaxed structure of InNiBr2 from the Alexandria database. Energies are from PBE.

Computed properties:
* mass density: 5.5 g cm⁻³
* formation energy from raw total energies: -195 meV per atom
* spin magnetization: 1.1 μB/f.u.
* raw total energy: -37.940 eV for the cell shown
* V: 301.5 Å³/cell

Lattice parameters (Å, degrees): 3.7025 3.7025 25.3954 90.00 90.00 120.00
Space group R-3m (No. 166, hexagonal axes)
Inequivalent atoms, fractional coordinates:
In 0.0000 0.0000 0.0000 (multiplicity 3)
Ni 0.0000 0.0000 0.5000 (multiplicity 3)
Br 0.0000 0.0000 0.2231 (multiplicity 6)



No. 3
Here is a relaxed structure of InNiBr2 from the Alexandria database. Energies are from PBE.

Computed properties:
* mass density: 4.7 g cm⁻³
* formation energy from raw total energies: -105 meV per atom
* spin magnetization: 1.1 μB/f.u.
* raw total energy: -24.569 eV for the cell shown
* V: 237.8 Å³/cell

Lattice parameters (Å, degrees): 3.5869 7.0672 9.3800 90.00 90.00 90.00
Space group Cmm2 (No. 35)
Inequivalent atoms, fractional coordinates:
In 0.0000 0.0000 0.0000 (multiplicity 2)
Ni 0.0000 0.5000 0.7903 (multiplicity 2)
Br 0.0000 0.0000 0.6262 (multiplicity 2)
Br 0.0000 0.5000 0.2223 (multiplicity 2)



No. 4
Here is a relaxed structure of InNiBr2 from the Alexandria database. Energies are from PBE.

Computed properties:
* mass density: 4.4 g cm⁻³
* formation energy from raw total energies: -290 meV per atom
* spin magnetization: 1.0 μB/f.u.
* raw total energy: -26.055 eV for the cell shown
* V: 248.9 Å³/cell

Lattice parameters (Å, degrees): 10.5412 3.5811 7.2056 90.00 113.80 90.00
Space group Cm (No. 8)
Inequivalent atoms, fractional coordinates:
In 0.0000 0.0000 0.0000 (multiplicity 2)
Ni 0.2620 0.0000 0.0003 (multiplicity 2)
Br 0.1941 0.5000 0.7372 (multiplicity 2)
Br 0.3396 0.5000 0.2635 (multiplicity 2)



No. 5
Here is a relaxed structure of Pm6InNi2Br3 from the Alexandria database. Energies are from PBE.

Computed properties:
* mass density: 6.5 g cm⁻³
* formation energy from raw total energies: -763 meV per atom
* spin magnetization: 0.0 μB/f.u.
* raw total energy: -113.968 eV for the cell shown
* V: 687.7 Å³/cell

Lattice parameters (Å, degrees): 19.4372 4.0261 9.1916 90.00 107.04 90.00
Space group C2/m (No. 12)
Inequivalent atoms, fractional coordinates:
Pm 0.0184 0.0000 0.2647 (multiplicity 4)
Pm 0.1670 0.5000 0.1364 (multiplicity 4)
Pm 0.1794 0.5000 0.5577 (multiplicity 4)
In 0.0000 0.5000 0.0000 (multiplicity 2)
Ni 0.1691 0.0000 0.3450 (multiplicity 4)
Br 0.0000 0.5000 0.5000 (multiplicity 2)
Br 0.1637 0.0000 0.8370 (multiplicity 4)



No. 6
Here is a relaxed structure of Pr6InNi2Br3 from the Alexandria database. Energies are from PBE.

Computed properties:
* mass density: 6.1 g cm⁻³
* formation energy from raw total energies: -761 meV per atom
* spin magnetization: 0.0 μB/f.u.
* raw total energy: -114.265 eV for the cell shown
* V: 717.0 Å³/cell

Lattice parameters (Å, degrees): 19.6698 4.0812 9.3342 90.00 106.88 90.00
Space group C2/m (No. 12)
Inequivalent atoms, fractional coordinates:
Pr 0.0161 0.0000 0.2623 (multiplicity 4)
Pr 0.1668 0.5000 0.1324 (multiplicity 4)
Pr 0.1790 0.5000 0.5549 (multiplicity 4)
In 0.0000 0.5000 0.0000 (multiplicity 2)
Ni 0.1686 0.0000 0.3422 (multiplicity 4)
Br 0.0000 0.5000 0.5000 (multiplicity 2)
Br 0.1630 0.0000 0.8350 (multiplicity 4)



No. 7
Here is a relaxed structure of InReNi2Br from the Alexandria database. Energies are from PBE.

Computed properties:
* mass density: 7.0 g cm⁻³
* formation energy from raw total energies: 1796 meV per atom
* spin magnetization: 3.8 μB/f.u.
* raw total energy: -19.441 eV for the cell shown
* V: 118.1 Å³/cell

Lattice parameters (Å, degrees): 4.7604 4.7604 5.2112 90.00 90.00 90.00
Space group P4/mmm (No. 123)
Inequivalent atoms, fractional coordinates:
In 0.0000 0.0000 0.0000 (multiplicity 1)
Re 0.0000 0.0000 0.5000 (multiplicity 1)
Ni 0.0000 0.5000 0.0000 (multiplicity 2)
Br 0.5000 0.5000 0.5000 (multiplicity 1)



No. 8
Here is a relaxed structure of InNiSeBr2 from the Alexandria database. Energies are from PBE.

Computed properties:
* mass density: 5.4 g cm⁻³
* formation energy from raw total energies: -150 meV per atom
* spin magnetization: 1.3 μB/f.u.
* raw total energy: -16.101 eV for the cell shown
* V: 125.8 Å³/cell

Lattice parameters (Å, degrees): 5.2074 5.2074 4.6388 90.00 90.00 90.00
Space group P4/mmm (No. 123)
Inequivalent atoms, fractional coordinates:
In 0.0000 0.0000 0.0000 (multiplicity 1)
Ni 0.5000 0.5000 0.5000 (multiplicity 1)
Se 0.5000 0.5000 0.0000 (multiplicity 1)
Br 0.0000 0.5000 0.5000 (multiplicity 2)